A relaxed structure of VSbI2O. Source: Alexandria, functional GGA+U.

Space-group type: P4/mmm (123)
Final energy: -21.33 eV/cell
E above lowest polymorph: 0.0 meV/atom

Lattice parameters (Å, degrees): 5.845 5.845 3.716 90.00 90.00 90.00
Element x y z (fractional)
V: 0.000 0.000 0.000
Sb: 0.500 0.500 0.500
I: 0.000 0.500 0.000
I: 0.500 0.000 0.000
O: 0.000 0.000 0.500